The following is a PBE calculation of Sn3Hg3Sb2O12 after structural relaxation, from the Open Quantum Materials Database.

total DFT energy (no corrections) = -4.96 eV per atom
space group = Ia-3d, No. 230

Lattice parameters (Å, degrees): 11.497 11.497 11.497 109.47 109.47 109.47
Positions (direct):
Sn  0.125  0.750  0.875
Sn  0.125  0.875  0.250
Sn  0.250  0.125  0.875
Sn  0.250  0.625  0.375
Sn  0.375  0.250  0.625
Sn  0.375  0.625  0.750
Sn  0.625  0.375  0.250
Sn  0.625  0.750  0.375
Sn  0.750  0.375  0.625
Sn  0.750  0.875  0.125
Sn  0.875  0.125  0.750
Sn  0.875  0.250  0.125
Hg  0.125  0.250  0.375
Hg  0.125  0.375  0.750
Hg  0.250  0.375  0.125
Hg  0.250  0.875  0.625
Hg  0.375  0.125  0.250
Hg  0.375  0.750  0.125
Hg  0.625  0.250  0.875
Hg  0.625  0.875  0.750
Hg  0.750  0.125  0.375
Hg  0.750  0.625  0.875
Hg  0.875  0.625  0.250
Hg  0.875  0.750  0.625
Sb  0.000  0.000  0.000
Sb  0.000  0.000  0.500
Sb  0.000  0.500  0.000
Sb  0.000  0.500  0.500
Sb  0.500  0.000  0.000
Sb  0.500  0.000  0.500
Sb  0.500  0.500  0.000
Sb  0.500  0.500  0.500
O  0.019  0.192  0.106
O  0.019  0.326  0.913
O  0.086  0.692  0.674
O  0.086  0.894  0.413
O  0.087  0.606  0.414
O  0.087  0.981  0.674
O  0.106  0.019  0.192
O  0.106  0.587  0.914
O  0.174  0.192  0.586
O  0.174  0.481  0.587
O  0.192  0.106  0.019
O  0.192  0.586  0.174
O  0.308  0.326  0.914
O  0.308  0.481  0.394
O  0.326  0.913  0.019
O  0.326  0.914  0.308
O  0.394  0.308  0.481
O  0.394  0.586  0.913
O  0.413  0.086  0.894
O  0.413  0.826  0.519
O  0.414  0.087  0.606
O  0.414  0.826  0.808
O  0.481  0.394  0.308
O  0.481  0.587  0.174
O  0.519  0.413  0.826
O  0.519  0.606  0.692
O  0.586  0.174  0.192
O  0.586  0.913  0.394
O  0.587  0.174  0.481
O  0.587  0.914  0.106
O  0.606  0.414  0.087
O  0.606  0.692  0.519
O  0.674  0.086  0.692
O  0.674  0.087  0.981
O  0.692  0.519  0.606
O  0.692  0.674  0.086
O  0.808  0.414  0.826
O  0.808  0.894  0.981
O  0.826  0.519  0.413
O  0.826  0.808  0.414
O  0.894  0.413  0.086
O  0.894  0.981  0.808
O  0.913  0.019  0.326
O  0.913  0.394  0.586
O  0.914  0.106  0.587
O  0.914  0.308  0.326
O  0.981  0.674  0.087
O  0.981  0.808  0.894